Record 1
Pm8Nd3Sc | PBE | optimized geometry

Output
Symmetry: I-42m (121)
ΔH_f (0 K): 0.53 eV/atom
ρ: 6.12 Mg/m³

a = 8.4741 Å, b = 8.4741 Å, c = 8.4741 Å
α = 117.65°, β = 117.65°, γ = 94.12°
Last column: nearest neighbours and their distance in Å.
Atoms (fractional coordinates):
Pm: 0.1181 0.1181 0.7496  3 Pm 3.11-3.33, 1 Sc 3.21, 3 Nd 3.35-3.47
Pm: 0.2199 0.2199 0.4770  1 Sc 2.97, 1 Pm 3.23, 1 Nd 3.25
Pm: 0.2571 0.7801 0.0000  1 Sc 2.97, 1 Pm 3.23, 1 Nd 3.25
Pm: 0.3684 0.3684 0.2504  3 Pm 3.11-3.33, 1 Sc 3.21, 3 Nd 3.35-3.47
Pm: 0.6316 0.8819 0.0000  3 Pm 3.11-3.33, 1 Sc 3.21, 3 Nd 3.35-3.47
Pm: 0.7429 0.7429 0.5230  1 Sc 2.97, 1 Pm 3.23, 1 Nd 3.25
Pm: 0.7801 0.2571 0.0000  1 Sc 2.97, 1 Pm 3.23, 1 Nd 3.25
Pm: 0.8819 0.6316 0.0000  3 Pm 3.11-3.33, 1 Sc 3.21, 3 Nd 3.35-3.47
Nd: 0.2500 0.7500 0.5000  4 Pm 3.47
Nd: 0.5000 0.5000 0.0000  8 Pm 3.25-3.35
Nd: 0.7500 0.2500 0.5000  4 Pm 3.47
Sc: 0.0000 0.0000 0.0000  8 Pm 2.97-3.21

Record 2
TlOF2 | PBE | optimized geometry

Output
ΔE to the lowest computed polymorph: 567 meV per atom
Symmetry: R-3m (166)
Formation energy from raw total energies: -1.81 eV/f.u.
ρ: 4.97 Mg/m³

a = 6.6695 Å, b = 6.6695 Å, c = 6.6695 Å
α = 34.81°, β = 34.81°, γ = 34.81°
Last column: nearest neighbours and their distance in Å.
Atoms (fractional coordinates):
Tl: 0.0000 0.0000 0.0000  6 F 2.70
O: 0.5000 0.5000 0.5000  2 F 1.72
F: 0.4086 0.4086 0.4086  1 O 1.72
F: 0.5914 0.5914 0.5914  1 O 1.72

Record 3
MgTlPd3 | PBE | optimized geometry

Output
ΔE to the lowest computed polymorph: 668 meV per atom
Symmetry: Pm-3m (221)
ΔH_f (0 K): 0.26 eV/atom
ρ: 8.83 Mg/m³

a = 4.6884 Å, b = 4.6884 Å, c = 4.6884 Å
α = 90.00°, β = 90.00°, γ = 90.00°
Last column: nearest neighbours and their distance in Å.
Atoms (fractional coordinates):
Mg: 0.0000 0.0000 0.0000  6 Pd 2.34
Tl: 0.5000 0.5000 0.5000  12 Pd 3.32
Pd: 0.0000 0.0000 0.5000  2 Mg 2.34
Pd: 0.0000 0.5000 0.0000  2 Mg 2.34
Pd: 0.5000 0.0000 0.0000  2 Mg 2.34

Record 4
LaTaCl | PBE | optimized geometry

Output
ΔE to the lowest computed polymorph: 1075 meV per atom
Symmetry: F-43m (216)
Formation energy from raw total energies: 2.82 eV/f.u.
ρ: 5.79 Mg/m³

a = 5.2429 Å, b = 5.2429 Å, c = 5.2429 Å
α = 60.00°, β = 60.00°, γ = 60.00°
Last column: nearest neighbours and their distance in Å.
Atoms (fractional coordinates):
La: 0.0000 0.0000 0.0000  4 Ta 3.21, 4 Cl 3.21
Ta: 0.2500 0.2500 0.2500  4 La 3.21
Cl: 0.7500 0.7500 0.7500  4 La 3.21

Record 5
KCdN3 | PBE | optimized geometry

Output
Symmetry: Pm-3m (221)
Formation energy from raw total energies: 9.36 eV/f.u.
ρ: 3.68 Mg/m³

a = 4.4367 Å, b = 4.4367 Å, c = 4.4367 Å
α = 90.00°, β = 90.00°, γ = 90.00°
Last column: nearest neighbours and their distance in Å.
Atoms (fractional coordinates):
K: 0.0000 0.0000 0.0000  12 N 3.14
Cd: 0.5000 0.5000 0.5000  6 N 2.22
N: 0.0000 0.5000 0.5000  2 Cd 2.22
N: 0.5000 0.0000 0.5000  2 Cd 2.22
N: 0.5000 0.5000 0.0000  2 Cd 2.22

Record 6
LaZr2PdN4 | PBE | optimized geometry

Output
Symmetry: Cmcm (63)
Formation energy from raw total energies: -8.50 eV/f.u.
ρ: 7.28 Mg/m³

a = 5.9313 Å, b = 5.9313 Å, c = 11.6357 Å
α = 90.00°, β = 90.00°, γ = 147.38°
Last column: nearest neighbours and their distance in Å.
Atoms (fractional coordinates):
La: 0.1139 0.8861 0.7500  2 N 2.42
La: 0.8861 0.1139 0.2500  2 N 2.42
Zr: 0.3678 0.6322 0.5502  5 N 2.12-2.35
Zr: 0.3678 0.6322 0.9498  5 N 2.12-2.35
Zr: 0.6322 0.3678 0.0502  5 N 2.12-2.35
Zr: 0.6322 0.3678 0.4498  5 N 2.12-2.35
Pd: 0.1493 0.8507 0.2500  4 N 2.07-2.17
Pd: 0.8507 0.1493 0.7500  4 N 2.07-2.17
N: 0.0000 0.0000 0.0000  4 Zr 2.32
N: 0.0000 0.0000 0.5000  4 Zr 2.32
N: 0.2678 0.7322 0.1039  3 Zr 2.12-2.35, 1 Pd 2.17
N: 0.2678 0.7322 0.3961  3 Zr 2.12-2.35, 1 Pd 2.17
N: 0.4592 0.5408 0.7500  2 Pd 2.07
N: 0.5408 0.4592 0.2500  2 Pd 2.07
N: 0.7322 0.2678 0.6039  3 Zr 2.12-2.35, 1 Pd 2.17
N: 0.7322 0.2678 0.8961  3 Zr 2.12-2.35, 1 Pd 2.17

Record 7
NbCuSi | PBE | optimized geometry

Output
Symmetry: Cmcm (63)
Formation energy from raw total energies: -1.17 eV/f.u.
ρ: 7.13 Mg/m³

a = 4.9347 Å, b = 4.9347 Å, c = 5.0506 Å
α = 90.00°, β = 90.00°, γ = 135.67°
Last column: nearest neighbours and their distance in Å.
Atoms (fractional coordinates):
Nb: 0.2114 0.7886 0.7500  5 Si 2.59-2.77
Nb: 0.7886 0.2114 0.2500  5 Si 2.59-2.77
Cu: 0.5000 0.5000 0.0000  4 Si 2.40, 2 Cu 2.53
Cu: 0.5000 0.5000 0.5000  4 Si 2.40, 2 Cu 2.53
Si: 0.0922 0.9078 0.2500  4 Cu 2.40, 2 Nb 2.59
Si: 0.9078 0.0922 0.7500  4 Cu 2.40, 2 Nb 2.59

Record 8
Na4AsS4 | PBE | optimized geometry

Output
Symmetry: I4/m (87)
Formation energy from raw total energies: -5.34 eV/f.u.
ρ: 2.06 Mg/m³

a = 7.1844 Å, b = 7.1844 Å, c = 7.1844 Å
α = 97.98°, β = 97.98°, γ = 136.24°
Last column: nearest neighbours and their distance in Å.
Atoms (fractional coordinates):
Na: 0.1321 0.3078 0.4400  4 S 2.74-2.84
Na: 0.3078 0.8679 0.1757  4 S 2.74-2.84
Na: 0.6922 0.1321 0.8243  4 S 2.74-2.84
Na: 0.8679 0.6922 0.5600  4 S 2.74-2.84
As: 0.5000 0.5000 0.0000  4 S 2.40
S: 0.2552 0.5716 0.8269  1 As 2.40
S: 0.4284 0.2552 0.6836  1 As 2.40
S: 0.5716 0.7448 0.3164  1 As 2.40
S: 0.7448 0.4284 0.1731  1 As 2.40

Record 9
Dy5ErCd6 | PBE | optimized geometry

Output
Symmetry: Cmmm (65)
ΔH_f (0 K): -0.32 eV/atom
ρ: 8.76 Mg/m³

a = 8.3556 Å, b = 8.3556 Å, c = 7.4937 Å
α = 90.00°, β = 90.00°, γ = 143.20°
Last column: nearest neighbours and their distance in Å.
Atoms (fractional coordinates):
Dy: 0.0000 0.0000 0.0000  8 Cd 3.24
Dy: 0.3328 0.6672 0.0000  8 Cd 3.24-3.25
Dy: 0.3338 0.6662 0.5000  8 Cd 3.23-3.25
Dy: 0.6662 0.3338 0.5000  8 Cd 3.23-3.25
Dy: 0.6672 0.3328 0.0000  8 Cd 3.24-3.25
Er: 0.0000 0.0000 0.5000  8 Cd 3.23
Cd: 0.1662 0.8338 0.2512  1 Er 3.23, 7 Dy 3.23-3.25
Cd: 0.1662 0.8338 0.7488  1 Er 3.23, 7 Dy 3.23-3.25
Cd: 0.5000 0.5000 0.2510  6 Dy 3.23-3.25, 2 Er 3.23
Cd: 0.5000 0.5000 0.7490  6 Dy 3.23-3.25, 2 Er 3.23
Cd: 0.8338 0.1662 0.2512  1 Er 3.23, 7 Dy 3.23-3.25
Cd: 0.8338 0.1662 0.7488  1 Er 3.23, 7 Dy 3.23-3.25

Record 10
MnIn2Pb | PBE | optimized geometry

Output
Symmetry: I4/mmm (139)
ΔH_f (0 K): 0.29 eV/atom
ρ: 8.46 Mg/m³

a = 5.8570 Å, b = 5.8570 Å, c = 5.8570 Å
α = 135.74°, β = 135.74°, γ = 64.38°
Last column: nearest neighbours and their distance in Å.
Atoms (fractional coordinates):
Mn: 0.0000 0.0000 0.0000  4 Pb 3.12, 8 In 3.32
In: 0.2500 0.7500 0.5000  4 In 3.12, 4 Mn 3.32, 4 Pb 3.32
In: 0.7500 0.2500 0.5000  4 In 3.12, 4 Mn 3.32, 4 Pb 3.32
Pb: 0.5000 0.5000 0.0000  4 Mn 3.12, 8 In 3.32

Record 11
RePIr2 | PBE | optimized geometry

Output
Symmetry: Cmmm (65)
ΔH_f (0 K): 0.36 eV/atom
ρ: 17.06 Mg/m³

a = 2.7571 Å, b = 2.7571 Å, c = 8.9231 Å
α = 90.00°, β = 90.00°, γ = 120.29°
Last column: nearest neighbours and their distance in Å.
Atoms (fractional coordinates):
Re: 0.0000 0.0000 0.0000  4 Ir 2.72, 6 Re 2.74-2.76
P: 0.0000 0.0000 0.5000  4 Ir 2.52, 6 P 2.74-2.76
Ir: 0.5000 0.5000 0.2634  2 P 2.52, 2 Re 2.72, 6 Ir 2.74-2.76
Ir: 0.5000 0.5000 0.7366  2 P 2.52, 2 Re 2.72, 6 Ir 2.74-2.76

E_tot
In order: -52.26 -12.88 -18.22 -15.81 -17.63 -69.02 -20.76 -31.78 -36.89 -17.20 -34.15
Unit: eV per formula unit
Magnetic moment
In order: 0.0 1.0 0.0 4.9 5.1 0.0 0.0 0.6 0.0 4.1 0.0
Unit: μB per formula unit